(1)
First-principles (PBE) data for a relaxed structure of BHF4, as listed in Alexandria via LeMat-Bulk.

- E above lowest polymorph: 0.000 eV per atom

Cell: 4.219 16.845 4.568 Å, 90.00 106.89 90.00°
Space group C2/c (No. 15)
Symmetry-distinct sites (fractional):
1 B 0.000 0.113 0.250
2 H 0.000 0.331 0.750
3 F 0.195 0.074 0.492
4 F 0.217 0.172 0.139

***

(2)
First-principles (PBE) data for a relaxed structure of BH2F, as listed in Alexandria via LeMat-Bulk.

- E above lowest polymorph: 0.000 eV per atom

Cell: 3.055 4.789 13.221 Å, 90.00 90.00 90.00°
Space group P2_12_12_1 (No. 19)
Symmetry-distinct sites (fractional):
1 B 0.172 0.009 0.113
2 H 0.013 0.506 0.468
3 H 0.121 0.183 0.646
4 F 0.151 0.244 0.167

***

(3)
First-principles (PBE) data for a relaxed structure of BHF2, as listed in Alexandria via LeMat-Bulk.

- E above lowest polymorph: 1.553 eV per atom

Cell: 4.733 4.733 6.689 Å, 90.00 90.00 90.00°
Space group I-42d (No. 122)
Symmetry-distinct sites (fractional):
1 B 0.000 0.000 0.000
2 H 0.000 0.000 0.500
3 F 0.001 0.250 0.125

***

(4)
First-principles (PBE) data for a relaxed structure of B2HF8, as listed in Alexandria via LeMat-Bulk.

- Final energy: -4.9503 eV per atom

Cell: 8.011 6.780 4.757 Å, 90.00 94.77 90.00°
Space group C2/m (No. 12)
Symmetry-distinct sites (fractional):
1 B 0.209 0.000 0.307
2 H 0.000 0.000 0.000
3 F 0.116 0.160 0.171
4 F 0.124 0.500 0.747
5 F 0.197 0.000 0.597

***

(5)
First-principles (PBE) data for a relaxed structure of B2HF, as listed in Alexandria via LeMat-Bulk.

- E above lowest polymorph: 0.000 eV per atom

Cell: 3.287 3.287 11.817 Å, 90.00 90.00 90.00°
Space group I4_1/amd (No. 141, origin choice 2)
Symmetry-distinct sites (fractional):
1 B 0.000 0.000 0.000
2 H 0.000 0.250 0.875
3 F 0.000 0.250 0.375

***

(6)
First-principles (PBE) data for a relaxed structure of B2HF, as listed in Alexandria via LeMat-Bulk.

- E above lowest polymorph: 1.282 eV per atom

Cell: 5.154 5.154 5.154 Å, 90.00 90.00 90.00°
Space group Fm-3m (No. 225)
Symmetry-distinct sites (fractional):
1 B 0.250 0.250 0.250
2 H 0.000 0.000 0.000
3 F 0.000 0.000 0.500

***

(7)
First-principles (PBE) data for a relaxed structure of BHF4, as listed in Alexandria via LeMat-Bulk.

- E above lowest polymorph: 0.190 eV per atom

Cell: 4.152 4.152 6.601 Å, 90.00 90.00 90.00°
Space group I-4 (No. 82)
Symmetry-distinct sites (fractional):
1 B 0.000 0.000 0.000
2 H 0.000 0.500 0.750
3 F 0.149 0.761 0.878

***

(8)
First-principles (PBE) data for a relaxed structure of B2H6F, as listed in Alexandria via LeMat-Bulk.

- Final energy: -3.9950 eV per atom

Cell: 3.181 3.910 5.316 Å, 83.69 88.59 67.58°
Space group P-1 (No. 2)
Symmetry-distinct sites (fractional):
1 B 0.231 0.006 0.431
2 H 0.140 0.224 0.177
3 H 0.305 0.926 0.210
4 H 0.365 0.274 0.483
5 F 0.000 0.500 0.000

***

(9)
First-principles (PBE) data for a relaxed structure of BH2F, as listed in Alexandria via LeMat-Bulk.

- E above lowest polymorph: 2.191 eV per atom

Cell: 4.833 4.833 4.833 Å, 90.00 90.00 90.00°
Space group Fm-3m (No. 225)
Symmetry-distinct sites (fractional):
1 B 0.000 0.000 0.000
2 H 0.250 0.250 0.250
3 F 0.000 0.000 0.500

***

(10)
First-principles (PBE) data for a relaxed structure of BH2F8, as listed in Alexandria via LeMat-Bulk.

- E above lowest polymorph: 0.120 eV per atom

Cell: 8.548 5.790 4.933 Å, 90.00 92.92 90.00°
Space group C2/m (No. 12)
Symmetry-distinct sites (fractional):
1 B 0.000 0.000 0.000
2 H 0.223 0.500 0.565
3 F 0.055 0.192 0.804
4 F 0.170 0.000 0.152
5 F 0.178 0.500 0.382

***

(11)
First-principles (PBE) data for a relaxed structure of BH2F6, as listed in Alexandria via LeMat-Bulk.

- Final energy: -4.6113 eV per atom

Cell: 9.600 10.252 4.271 Å, 90.00 109.11 90.00°
Space group C2/c (No. 15)
Symmetry-distinct sites (fractional):
1 B 0.000 0.179 0.250
2 H 0.159 0.488 0.937
3 F 0.076 0.100 0.524
4 F 0.108 0.256 0.186
5 F 0.156 0.444 0.728

***

(12)
First-principles (PBE) data for a relaxed structure of BH2F8, as listed in Alexandria via LeMat-Bulk.

- E above lowest polymorph: 0.000 eV per atom

Cell: 4.461 5.244 6.710 Å, 71.03 72.34 70.52°
Space group P-1 (No. 2)
Symmetry-distinct sites (fractional):
1 B 0.000 0.000 0.000
2 H 0.447 0.236 0.560
3 F 0.133 0.209 0.809
4 F 0.182 0.035 0.126
5 F 0.360 0.768 0.551
6 F 0.466 0.572 0.892

***

(13)
First-principles (PBE) data for a relaxed structure of BH2F, as listed in Alexandria via LeMat-Bulk.

- E above lowest polymorph: 0.885 eV per atom

Cell: 4.041 4.041 5.731 Å, 90.00 90.00 90.00°
Space group I-42d (No. 122)
Symmetry-distinct sites (fractional):
1 B 0.000 0.000 0.000
2 H 0.110 0.250 0.125
3 F 0.000 0.000 0.500

***

(14)
First-principles (PBE) data for a relaxed structure of BHF2, as listed in Alexandria via LeMat-Bulk.

- E above lowest polymorph: 1.478 eV per atom

Cell: 2.3596 2.3596 15.3912 Å, 90.00 90.00 120.00°
Space group R-3m (No. 166, hexagonal axes)
Symmetry-distinct sites (fractional):
1 B 0.0000 0.0000 0.0000
2 H 0.0000 0.0000 0.5000
3 F 0.0000 0.0000 0.1032

***

(15)
First-principles (PBE) data for a relaxed structure of BHF2, as listed in Alexandria via LeMat-Bulk.

- E above lowest polymorph: 2.484 eV per atom

Cell: 5.033 5.033 5.033 Å, 90.00 90.00 90.00°
Space group Fm-3m (No. 225)
Symmetry-distinct sites (fractional):
1 B 0.000 0.000 0.000
2 H 0.000 0.000 0.500
3 F 0.250 0.250 0.250

***

(16)
First-principles (PBE) data for a relaxed structure of BHF2, as listed in Alexandria via LeMat-Bulk.

- E above lowest polymorph: 0.000 eV per atom

Cell: 4.190 6.400 4.558 Å, 90.00 90.00 90.00°
Space group Imm2 (No. 44)
Symmetry-distinct sites (fractional):
1 B 0.000 0.000 0.000
2 H 0.000 0.000 0.739
3 F 0.000 0.177 0.153

***

(17)
First-principles (PBE) data for a relaxed structure of HfBH2F, as listed in Alexandria via LeMat-Bulk.

- Final energy: -5.2211 eV per atom

Cell: 3.149 3.149 4.787 Å, 90.00 90.00 90.00°
Space group P4/mmm (No. 123)
Symmetry-distinct sites (fractional):
1 Hf 0.000 0.000 0.000
2 B 0.000 0.000 0.500
3 H 0.000 0.500 0.500
4 F 0.500 0.500 0.000

***

(18)
First-principles (PBE) data for a relaxed structure of BH2IrF, as listed in Alexandria via LeMat-Bulk.

- Final energy: -4.0057 eV per atom

Cell: 3.422 3.422 4.398 Å, 90.00 90.00 90.00°
Space group P4/mmm (No. 123)
Symmetry-distinct sites (fractional):
1 B 0.000 0.000 0.000
2 H 0.000 0.500 0.500
3 Ir 0.500 0.500 0.500
4 F 0.500 0.500 0.000

***

(19)
First-principles (PBE) data for a relaxed structure of BHIr2F, as listed in Alexandria via LeMat-Bulk.

- Final energy: -5.2725 eV per atom

Cell: 4.261 4.261 2.884 Å, 90.00 90.00 90.00°
Space group P4/mmm (No. 123)
Symmetry-distinct sites (fractional):
1 B 0.000 0.000 0.000
2 H 0.000 0.000 0.500
3 Ir 0.000 0.500 0.000
4 F 0.500 0.500 0.500

***

(20)
First-principles (PBE) data for a relaxed structure of BHIrF2, as listed in Alexandria via LeMat-Bulk.

- Final energy: -3.8706 eV per atom

Cell: 4.371 4.371 2.614 Å, 90.00 90.00 90.00°
Space group P4/mmm (No. 123)
Symmetry-distinct sites (fractional):
1 B 0.000 0.000 0.000
2 H 0.000 0.000 0.500
3 Ir 0.500 0.500 0.000
4 F 0.000 0.500 0.500